# Nb2SiSe

A geometry-optimized Nb2SiSe structure (PBE, the Alexandria database).

Values from the calculation:
- formation energy (no corrections) (eV per atom) = -0.2946
- energy above the lowest structure with this stoichiometry (meV/atom) = 0

```
Nb2SiSe
1.0
-4.498 -0.015 0.600
-2.015 3.456 2.142
-2.608 2.898 -2.322
Nb Se Si
2 1 1
direct
0.250 0.250 0.250
0.750 0.750 0.750
0.500 0.500 0.500
0.000 0.000 0.000
```